Entry 1:
An optimized crystal structure of RbTlH2, computed with PBE-GGA.

Lattice parameters (Å, degrees): 4.900 4.900 4.900 60.00 60.00 60.00
Fractional positions:
H  0.750  0.750  0.750
Rb  0.000  0.000  0.000
H  0.250  0.250  0.250
Tl  0.500  0.500  0.500

Computed properties:
- Energy above the most stable polymorph in this dataset: 55 meV/atom
- Space group: Fm-3m (225)

---

Entry 2:
An optimized crystal structure of Rb3UCu2Te6, computed with PBE-GGA.

Lattice parameters (Å, degrees): 9.019 9.019 8.949 98.98 98.98 137.56
Fractional positions:
Rb  0.180  0.820  0.500
Te  0.839  0.562  0.830
Te  0.562  0.839  0.830
Cu  0.422  0.578  0.000
Te  0.178  0.178  0.751
U  0.000  0.000  0.000
Rb  0.820  0.180  0.500
Rb  0.500  0.500  0.500
Cu  0.578  0.422  0.000
Te  0.438  0.161  0.170
Te  0.161  0.438  0.170
Te  0.822  0.822  0.249

Computed properties:
- Space group: C2/m (12)
- Raw formation energy: -0.5519 eV/atom

---

Entry 3:
An optimized crystal structure of Al2TcCl, computed with PBE-GGA.

Lattice parameters (Å, degrees): 2.820 4.661 4.874 90.00 90.00 90.00
Fractional positions:
Tc  0.000  0.500  0.500
Cl  0.500  0.000  0.500
Al  0.500  0.500  0.000
Al  0.000  0.000  0.000

Computed properties:
- Energy above the most stable polymorph in this dataset: 775 meV/atom
- Space group: Pmmm (47)
- Raw formation energy: 0.3527 eV/atom

---

Entry 4:
An optimized crystal structure of Cs2InSnBr5, computed with PBE-GGA.

Lattice parameters (Å, degrees): 4.706 10.499 16.267 90.00 90.00 102.95
Fractional positions:
Br  0.503  0.007  0.272
Br  0.084  0.168  0.074
Br  0.366  0.733  0.986
Cs  0.140  0.279  0.298
Cs  0.913  0.826  0.155
In  0.463  0.925  0.453
Br  0.634  0.267  0.486
In  0.537  0.075  0.953
Sn  0.777  0.554  0.527
Sn  0.223  0.446  0.027
Cs  0.087  0.174  0.655
Br  0.497  0.993  0.772
Br  0.696  0.391  0.909
Br  0.916  0.832  0.574
Br  0.737  0.474  0.150
Cs  0.860  0.721  0.798
Br  0.304  0.609  0.409
Br  0.263  0.526  0.650

Computed properties:
- Space group: Cmc2_1 (36)
- Raw formation energy: -1.1872 eV/atom

---

Entry 5:
An optimized crystal structure of Sr2ReSi, computed with PBE-GGA.

Lattice parameters (Å, degrees): 7.378 5.792 2.964 90.00 66.31 122.31
Fractional positions:
Re  0.000  0.500  0.500
Si  0.500  0.500  0.000
Sr  0.500  0.000  0.500
Sr  0.000  0.000  0.000

Computed properties:
- Space group: Cmmm (65)
- Raw formation energy: 0.7557 eV/atom

---

Entry 6:
An optimized crystal structure of Pm2RuRh, computed with PBE-GGA.

Lattice parameters (Å, degrees): 4.956 4.956 4.956 60.00 60.00 60.00
Fractional positions:
Rh  0.500  0.500  0.500
Pm  0.250  0.250  0.250
Ru  0.000  0.000  0.000
Pm  0.750  0.750  0.750

Computed properties:
- Energy above the most stable polymorph in this dataset: 23 meV/atom
- Space group: Fm-3m (225)
- E_form: -0.41 eV per atom

---

Which magnetic moment belongs to each record? In order, 0.00, 0.00, 0.00, 0.00, 0.00, 0.00 μB per cell.